## Np2ZnCo3Ge4 (PBE)

Data for a relaxed structure of Np2ZnCo3Ge4.

Cell lengths 4.071, 4.071, 9.878 Å; angles 90.00, 90.00, 90.00 degrees
Sites, in units of the cell vectors:
Np 0.500 0.000 0.243
Np 0.000 0.500 0.757
Zn 0.500 0.500 0.500
Co 0.000 0.000 0.500
Co 0.500 0.000 0.877
Co 0.000 0.500 0.123
Ge 0.500 0.500 0.000
Ge 0.000 0.000 0.000
Ge 0.500 0.000 0.644
Ge 0.000 0.500 0.356

Calculated values
energy of formation from the pure elements = -2.30 eV/f.u.
SG = P-4m2, No. 115
spin magnetization = 6.0 μB/f.u.
volume = 16.368 Å³/atom
E = -69.24 eV for the cell shown